Er4HgRh3 PBE relaxed; E = -46.80 eV for the cell shown; formation energy = -774 meV per atom; symmetry = P4/mmm, No. 123
1.0
4.861 0.000 0.000
0.000 4.861 0.000
0.000 0.000 7.071
Er Hg Rh
4 1 3
Cartesian
0.000 2.430 1.684
0.000 2.430 5.388
2.430 0.000 1.684
2.430 0.000 5.388
0.000 0.000 3.536
0.000 0.000 0.000
2.430 2.430 0.000
2.430 2.430 3.536